# 1
# La6PmNd2 | Alexandria | PBE | relaxed
data_La6PmNd2
_symmetry_space_group_name_H-M 'C m m m'
_symmetry_Int_Tables_number 65
_symmetry_space_group_name_Hall '-C 2 2'
_cell_length_a 9.6371
_cell_length_b 18.2599
_cell_length_c 3.6997
_cell_angle_alpha 90.00
_cell_angle_beta 90.00
_cell_angle_gamma 90.00
loop_
_atom_site_label
_atom_site_type_symbol
_atom_site_fract_x
_atom_site_fract_y
_atom_site_fract_z
La1 La 0.1718 0.1639 0.0000
La2 La 0.1767 0.0000 0.5000
Pm1 Pm 0.0000 0.5000 0.0000
Nd1 Nd 0.0000 0.3238 0.5000
# **M_tot**: 0.0 μB per cell
# **E_form**: 97 kJ/mol of formula units
# **DOS at the Fermi energy**: 29.29 states/eV/cell


# 2
# Rb3LiI2O9 | Alexandria | PBE | relaxed
data_Rb3LiI2O9
_symmetry_space_group_name_H-M 'P -3 m 1'
_symmetry_Int_Tables_number 164
_symmetry_space_group_name_Hall '-P 3 2"'
_cell_length_a 5.9438
_cell_length_b 5.9438
_cell_length_c 7.3743
_cell_angle_alpha 90.00
_cell_angle_beta 90.00
_cell_angle_gamma 120.00
loop_
_atom_site_label
_atom_site_type_symbol
_atom_site_fract_x
_atom_site_fract_y
_atom_site_fract_z
Rb1 Rb 0.0000 0.0000 0.0000
Rb2 Rb 0.3333 0.6667 0.6586
Li1 Li 0.0000 0.0000 0.5000
I1 I 0.3333 0.6667 0.1740
O1 O 0.0000 0.5000 0.0000
O2 O 0.1805 0.3610 0.3054
# **M_tot**: 0.0 μB per cell
# **Formation energy (no corrections)**: -0.849 eV/atom
# **DOS at the Fermi energy**: 10.55 states/eV/cell